Entry 1:
This record from the Alexandria database describes a relaxed Al2PCl crystal. The functional is PBE.

Summary:
E_form (uncorrected) = -0.07 eV/atom
density of states at the Fermi level = 1.7 states/eV per cell
DFT total energy = -0.2760 Ry/atom
energy relative to the lowest polymorph listed for this composition = 245 meV per atom

a b c (Å): 2.961 2.961 9.067
angles (deg): 90.00 90.00 90.00
Positions (direct):
Al: 0.000 0.000 0.000
Al: 0.500 0.500 0.216
P: 0.500 0.500 0.821
Cl: 0.000 0.000 0.397

Entry 2:
This record from the Alexandria database describes a relaxed AlTl2SnO6 crystal. The functional is PBE.

Summary:
E_form (uncorrected) = -1.30 eV/atom
density of states at the Fermi level = 1.4 states/eV per cell
DFT total energy = -0.4057 Ry/atom

a b c (Å): 5.272 5.272 4.926
angles (deg): 90.00 90.00 90.00
Positions (direct):
Al: 0.000 0.000 0.000
Tl: 0.000 0.500 0.430
Tl: 0.500 0.000 0.430
Sn: 0.500 0.500 0.989
O: 0.000 0.000 0.632
O: 0.241 0.241 0.121
O: 0.241 0.759 0.121
O: 0.500 0.500 0.583
O: 0.759 0.241 0.121
O: 0.759 0.759 0.121

- What is the density of states at the Fermi level in the second record?
  1.4 states/eV per cell

- What is the density of states at the Fermi level in the first record?
  1.7 states/eV per cell

- Among the records above, which one has the highest E_form (uncorrected)?
  Al2PCl

- Look up the density of states at the Fermi level of the first one.
  1.7 states/eV per cell